A plane-wave DFT calculation with GGA+U was carried out for a relaxed Na2CoF crystal.

Cell lengths 4.832, 4.832, 4.832 Å; angles 60.00, 60.00, 60.00 degrees
Fractional coordinates of all 4 atoms:
Na (0.250, 0.250, 0.250)
Na (0.750, 0.750, 0.750)
F (0.000, 0.000, 0.000)
Co (0.500, 0.500, 0.500)

Values from the calculation:
ΔE to the lowest computed polymorph   106 meV per atom
DFT total energy   -11.42 eV per formula unit
SG   Fm-3m (225)